First-principles (PBE) data for a geometry-optimized SbRu3Br structure, as listed in Alexandria.

Cell: 4.957 4.957 4.957 Å, 90.00 90.00 90.00°
Element x y z (fractional)
Sb (0.000, 0.000, 0.000)
Br (0.500, 0.500, 0.500)
Ru (0.000, 0.500, 0.000)
Ru (0.000, 0.000, 0.500)
Ru (0.500, 0.000, 0.000)

* excess energy over the best structure of this formula in the dataset: 240.9 meV per atom
* space-group type: Pm-3m (221)
* size of the total moment: 5.1 μB/f.u.
* formation energy without anion corrections: 1.639 eV per atom



First-principles (PBE) data for a geometry-optimized Cd2CuCl6 structure, as listed in Alexandria.

Cell: 3.875 7.338 9.326 Å, 108.20 90.00 105.31°
Element x y z (fractional)
Cd (0.674, 0.349, 0.818)
Cd (0.326, 0.651, 0.182)
Cu (0.000, 0.000, 0.500)
Cl (0.311, 0.621, 0.889)
Cl (0.689, 0.379, 0.111)
Cl (0.968, 0.937, 0.242)
Cl (0.627, 0.253, 0.528)
Cl (0.032, 0.063, 0.758)
Cl (0.373, 0.747, 0.472)

* excess energy over the best structure of this formula in the dataset: 0.0 meV per atom
* space-group type: C2/m (12)
* size of the total moment: 1.0 μB/f.u.
* formation energy without anion corrections: -0.852 eV per atom